Entry 1:
YRu2Se: optimized geometry, PBE.

Unit cell a=4.370 b=4.370 c=3.580 alpha=90.00 beta=90.00 gamma=90.00
Sites, in units of the cell vectors:
Ru 0.500 0.500 0.000
Ru 0.000 0.000 0.000
Se 0.500 0.000 0.500
Y 0.000 0.500 0.500

- Mass density: 8.99 g cm⁻³
- Symmetry: No. 123
- Total magnetization: 0.000 μB/atom
- Formation energy (no corrections): -0.100 eV per atom

---

Entry 2:
Nd4TlZn3: optimized geometry, PBE.

Unit cell a=3.748 b=4.688 c=12.174 alpha=90.00 beta=90.00 gamma=90.00
Sites, in units of the cell vectors:
Nd 0.500 0.500 0.357
Nd 0.500 0.000 0.649
Zn 0.500 0.000 0.923
Nd 0.000 0.500 0.838
Zn 0.000 0.000 0.436
Tl 0.500 0.500 0.067
Nd 0.000 0.000 0.162
Zn 0.000 0.500 0.567

- Mass density: 7.59 g cm⁻³
- Symmetry: No. 25
- Energy relative to the lowest polymorph listed for this composition: 0.046 eV per atom
- Total magnetization: 0.000 μB/atom

---

Entry 3:
Sm5TlTe8: optimized geometry, PBE.

Unit cell a=9.336 b=9.336 c=9.336 alpha=60.00 beta=60.00 gamma=60.00
Sites, in units of the cell vectors:
Te 0.387 0.387 0.387
Sm 0.621 0.621 0.138
Te 0.387 0.387 0.838
Sm 0.621 0.138 0.621
Tl 0.250 0.250 0.250
Te 0.867 0.867 0.867
Te 0.867 0.399 0.867
Te 0.399 0.867 0.867
Te 0.867 0.867 0.399
Sm 0.138 0.621 0.621
Te 0.387 0.838 0.387
Te 0.838 0.387 0.387
Sm 0.621 0.621 0.621
Sm 0.000 0.000 0.000

- Mass density: 5.70 g cm⁻³
- Symmetry: No. 216
- Total magnetization: 0.000 μB/atom
- Formation energy (no corrections): -1.219 eV per atom

---

Entry 4:
LiLa2SiPb: optimized geometry, PBE.

Unit cell a=5.728 b=5.391 c=5.728 alpha=90.00 beta=90.00 gamma=90.00
Sites, in units of the cell vectors:
La 0.500 0.000 0.000
Li 0.500 0.500 0.500
La 0.000 0.000 0.500
Pb 0.000 0.500 0.000
Si 0.000 0.000 0.000

- Mass density: 4.88 g cm⁻³
- Symmetry: No. 123
- Total magnetization: 0.000 μB/atom
- Formation energy (no corrections): 0.011 eV per atom

---

Number 1: electronic total energy -0.2655 hartree per atom. Number 2: electronic total energy -0.1259 hartree per atom. Number 3: electronic total energy -0.1789 hartree per atom. Number 4: electronic total energy -0.1532 hartree per atom.